Record 1
Rb3CePr2S6 PBE-GGA relaxed; formation energy without anion corrections = -1.798 eV per atom; mass density = 4.0 g/cm³; magnetic moment = 1.02 μB per cell; electronic total energy = -64.74 eV for the cell shown; symmetry = C2/m
1.0
3.6869 -6.3858 0.0000
3.6869 6.3858 0.0000
-2.4584 0.0000 7.7045
Rb Ce Pr S
3 1 2 6
direct
0.0000 0.0000 0.0000
0.3329 0.6671 0.0000
0.6671 0.3329 0.0000
0.5000 0.5000 0.5000
0.1666 0.8334 0.5000
0.8334 0.1666 0.5000
0.1029 0.4342 0.3025
0.2346 0.2346 0.6976
0.4342 0.1029 0.3025
0.5658 0.8971 0.6975
0.7654 0.7654 0.3024
0.8971 0.5658 0.6975

---

Record 2
Rb3CePr3Se8 PBE-GGA relaxed; formation energy without anion corrections = -1.713 eV per atom; mass density = 4.5 g/cm³; magnetic moment = 0.00 μB per cell; electronic total energy = -76.74 eV for the cell shown; symmetry = R-3m
1.0
4.3589 2.5166 8.1415
-4.3589 2.5166 8.1415
0.0000 -5.0332 8.1415
Rb Ce Pr Se
3 1 3 8
direct
0.0000 0.5000 0.5000
0.5000 0.0000 0.5000
0.5000 0.5000 0.0000
0.5000 0.5000 0.5000
0.0000 0.0000 0.5000
0.0000 0.5000 0.0000
0.5000 0.0000 0.0000
0.2339 0.2339 0.2339
0.2424 0.7255 0.7255
0.2745 0.2745 0.7576
0.2745 0.7576 0.2745
0.7255 0.2424 0.7255
0.7255 0.7255 0.2424
0.7576 0.2745 0.2745
0.7661 0.7661 0.7661

---

Record 3
Rb2CePrSe4 PBE-GGA relaxed; formation energy without anion corrections = -1.701 eV per atom; mass density = 4.7 g/cm³; magnetic moment = 1.01 μB per cell; electronic total energy = -40.19 eV for the cell shown; symmetry = P2/m
1.0
7.6454 0.0000 0.0000
0.0000 4.4175 0.0000
-2.5520 0.0000 8.0013
Rb Ce Pr Se
2 1 1 4
direct
0.0000 0.0000 0.0000
0.5000 0.5000 0.0000
0.0000 0.5000 0.5000
0.5000 0.0000 0.5000
0.2322 0.0000 0.7001
0.2650 0.5000 0.2985
0.7350 0.5000 0.7015
0.7678 0.0000 0.2999

---

Record 4
Rb3Ce2PrSe6 PBE-GGA relaxed; formation energy without anion corrections = -1.691 eV per atom; mass density = 4.7 g/cm³; magnetic moment = 2.01 μB per cell; electronic total energy = -60.75 eV for the cell shown; symmetry = C2/m
1.0
3.8222 -6.6202 0.0000
3.8222 6.6202 0.0000
-2.5483 0.0000 7.9997
Rb Ce Pr Se
3 2 1 6
direct
0.0000 0.0000 0.0000
0.3339 0.6661 0.0000
0.6661 0.3339 0.0000
0.1667 0.8333 0.5000
0.8333 0.1667 0.5000
0.5000 0.5000 0.5000
0.0983 0.4332 0.2995
0.2319 0.2319 0.7003
0.4332 0.0983 0.2995
0.5668 0.9017 0.7005
0.7681 0.7681 0.2997
0.9017 0.5668 0.7005

---

Record 5
Rb3Ce3PrTe8 PBE-GGA relaxed; formation energy without anion corrections = -1.339 eV per atom; mass density = 4.8 g/cm³; magnetic moment = 2.01 μB per cell; electronic total energy = -70.71 eV for the cell shown; symmetry = R-3m
1.0
4.6129 2.6633 8.6395
-4.6129 2.6633 8.6395
0.0000 -5.3266 8.6395
Rb Ce Pr Te
3 3 1 8
direct
0.0000 0.5000 0.5000
0.5000 0.0000 0.5000
0.5000 0.5000 0.0000
0.0000 0.0000 0.5000
0.0000 0.5000 0.0000
0.5000 0.0000 0.0000
0.5000 0.5000 0.5000
0.2278 0.7369 0.7369
0.2342 0.2342 0.2342
0.2631 0.2631 0.7722
0.2631 0.7722 0.2631
0.7369 0.2278 0.7369
0.7369 0.7369 0.2278
0.7658 0.7658 0.7658
0.7722 0.2631 0.2631

---

Record 6
RbCe2Pr3Te6 PBE-GGA relaxed; formation energy without anion corrections = -1.361 eV per atom; mass density = 6.2 g/cm³; magnetic moment = 2.52 μB per cell; electronic total energy = -62.35 eV for the cell shown; symmetry = C2/m
1.0
10.0422 -2.2637 0.0000
10.0422 2.2637 0.0000
-2.2329 0.0000 9.0887
Rb Ce Pr Te
1 2 3 6
direct
0.0000 0.0000 0.0000
0.3304 0.3304 0.6605
0.6696 0.6696 0.3395
0.0000 0.0000 0.5000
0.3385 0.3385 0.1769
0.6615 0.6615 0.8231
0.1660 0.1660 0.5812
0.1741 0.1741 0.0869
0.4958 0.4958 0.7327
0.5042 0.5042 0.2673
0.8259 0.8259 0.9131
0.8340 0.8340 0.4188